Entry 1:
A plane-wave DFT calculation with PBE was carried out for a relaxed ZnHg2PbSe crystal.

Values from the calculation:
crystal system	tetragonal
E_form (uncorrected)	0.372	eV per atom

a b c (Å): 5.2932 5.2932 6.0586
angles (deg): 90.00 90.00 90.00
With the nearest neighbours (Å) after each atom.
Space group P4/mmm (No. 123)
One atom of each set of equivalent atoms:
Zn  0.0000  0.0000  0.0000 x1  4 Pb 3.74, 8 Hg 4.02
Hg  0.0000  0.5000  0.5000 x2  2 Se 2.65
Pb  0.5000  0.5000  0.0000 x1  2 Se 3.03
Se  0.5000  0.5000  0.5000 x1  4 Hg 2.65


Entry 2:
A plane-wave DFT calculation with PBE was carried out for a relaxed Si2HgPb crystal.

Values from the calculation:
crystal system	tetragonal
E_form (uncorrected)	0.613	eV per atom
distance to the lowest polymorph of the same formula	398	meV per atom

a b c (Å): 4.3756 4.3756 9.3870
angles (deg): 90.00 90.00 90.00
With the nearest neighbours (Å) after each atom.
Space group I-4m2 (No. 119)
One atom of each set of equivalent atoms:
Si  0.0000  0.0000  0.0000 x2  4 Pb 3.09, 4 Hg 3.21, 4 Si 3.21
Si  0.0000  0.5000  0.2500 x2  4 Hg 3.09, 4 Pb 3.21, 4 Si 3.21
Hg  0.0000  0.5000  0.7500 x2  8 Si 3.09-3.21, 4 Pb 3.21
Pb  0.0000  0.0000  0.5000 x2  8 Si 3.09-3.21, 4 Hg 3.21


Entry 3:
A plane-wave DFT calculation with PBE was carried out for a relaxed SiHgPb2 crystal.

Values from the calculation:
crystal system	monoclinic
E_form (uncorrected)	0.249	eV per atom
distance to the lowest polymorph of the same formula	0	meV per atom

a b c (Å): 3.3760 3.9004 8.1732
angles (deg): 90.00 90.11 90.00
With the nearest neighbours (Å) after each atom.
Space group P2/m (No. 10)
One atom of each set of equivalent atoms:
Si  0.0000  0.0000  0.0000 x1  8 Pb 3.12, 2 Si 3.38
Hg  0.0000  0.0000  0.5000 x1  2 Hg 3.38, 8 Pb 3.47-3.48
Pb  0.4984  0.5000  0.7857 x2  4 Si 3.12, 2 Pb 3.38, 4 Hg 3.47-3.48


Entry 4:
A plane-wave DFT calculation with PBE was carried out for a relaxed Si2HgPb crystal.

Values from the calculation:
crystal system	orthorhombic
E_form (uncorrected)	0.375	eV per atom
distance to the lowest polymorph of the same formula	161	meV per atom

a b c (Å): 3.6836 4.1481 12.6324
angles (deg): 90.00 90.00 90.00
With the nearest neighbours (Å) after each atom.
Space group Imm2 (No. 44)
One atom of each set of equivalent atoms:
Si  0.0000  0.0000  0.0000 x2  2 Si 2.38
Si  0.0000  0.5000  0.3805 x2  2 Si 2.38
Hg  0.0000  0.5000  0.7995 x2  6 Si 2.96-3.27, 2 Pb 3.24
Pb  0.0000  0.0000  0.6020 x2  4 Si 3.06, 2 Hg 3.24


Entry 5:
A plane-wave DFT calculation with PBE was carried out for a relaxed SiHgPb2 crystal.

Values from the calculation:
crystal system	trigonal
E_form (uncorrected)	0.293	eV per atom
distance to the lowest polymorph of the same formula	44	meV per atom

a b c (Å): 3.5607 3.5607 29.1354
angles (deg): 90.00 90.00 120.00
With the nearest neighbours (Å) after each atom.
Space group R3m (No. 160, hexagonal axes)
One atom of each set of equivalent atoms:
Si  0.0000  0.0000  0.0000 x3  3 Hg 2.81, 3 Pb 2.96
Hg  0.0000  0.0000  0.7326 x3  3 Si 2.81
Pb  0.0000  0.0000  0.2602 x3  3 Si 2.96
Pb  0.0000  0.0000  0.4869 x3  3 Hg 3.28, 6 Pb 3.56


Entry 6:
A plane-wave DFT calculation with PBE was carried out for a relaxed SiHgPb2 crystal.

Values from the calculation:
crystal system	trigonal
E_form (uncorrected)	0.269	eV per atom
distance to the lowest polymorph of the same formula	20	meV per atom

a b c (Å): 3.4722 3.4722 31.7918
angles (deg): 90.00 90.00 120.00
With the nearest neighbours (Å) after each atom.
Space group R-3m (No. 166, hexagonal axes)
One atom of each set of equivalent atoms:
Si  0.0000  0.0000  0.0000 x3  6 Pb 3.01
Hg  0.0000  0.0000  0.5000 x3  6 Hg 3.47, 6 Pb 3.65
Pb  0.0000  0.0000  0.2625 x6  3 Si 3.01


Entry 7:
A plane-wave DFT calculation with PBE was carried out for a relaxed Si2HgPb crystal.

Values from the calculation:
crystal system	tetragonal
E_form (uncorrected)	0.608	eV per atom
distance to the lowest polymorph of the same formula	393	meV per atom

a b c (Å): 4.5200 4.5200 4.4156
angles (deg): 90.00 90.00 90.00
With the nearest neighbours (Å) after each atom.
Space group P4/mmm (No. 123)
One atom of each set of equivalent atoms:
Si  0.0000  0.5000  0.0000 x2  4 Hg 3.16, 4 Pb 3.16, 4 Si 3.20
Hg  0.0000  0.0000  0.5000 x1  8 Si 3.16, 4 Pb 3.20
Pb  0.5000  0.5000  0.5000 x1  8 Si 3.16, 4 Hg 3.20


Entry 8:
A plane-wave DFT calculation with PBE was carried out for a relaxed SiHgPb2 crystal.

Values from the calculation:
crystal system	cubic
E_form (uncorrected)	0.309	eV per atom
distance to the lowest polymorph of the same formula	60	meV per atom

a b c (Å): 7.4787 7.4787 7.4787
angles (deg): 90.00 90.00 90.00
With the nearest neighbours (Å) after each atom.
Space group Fm-3m (No. 225)
One atom of each set of equivalent atoms:
Si  0.0000  0.0000  0.0000 x4  8 Pb 3.24
Hg  0.0000  0.0000  0.5000 x4  8 Pb 3.24
Pb  0.2500  0.2500  0.2500 x8  4 Hg 3.24, 4 Si 3.24


Entry 9:
A plane-wave DFT calculation with PBE was carried out for a relaxed SiHg2Pb2 crystal.

Values from the calculation:
crystal system	tetragonal
E_form (uncorrected)	0.331	eV per atom
distance to the lowest polymorph of the same formula	53	meV per atom

a b c (Å): 7.6090 7.6090 4.9828
angles (deg): 90.00 90.00 90.00
With the nearest neighbours (Å) after each atom.
Space group P4/mbm (No. 127)
One atom of each set of equivalent atoms:
Si  0.0000  0.0000  0.0000 x2  4 Pb 2.87
Hg  0.1560  0.3440  0.5000 x4  6 Pb 3.21-3.44, 1 Hg 3.36
Pb  0.1566  0.6566  0.0000 x4  2 Si 2.87, 2 Hg 3.21


Entry 10:
A plane-wave DFT calculation with PBE was carried out for a relaxed Si2HgPb crystal.

Values from the calculation:
crystal system	trigonal
E_form (uncorrected)	0.535	eV per atom
distance to the lowest polymorph of the same formula	321	meV per atom

a b c (Å): 4.0945 4.0945 18.9277
angles (deg): 90.00 90.00 120.00
With the nearest neighbours (Å) after each atom.
Space group R-3m (No. 166, hexagonal axes)
One atom of each set of equivalent atoms:
Si  0.0000  0.0000  0.2376 x6  3 Hg 2.72, 3 Pb 2.98
Hg  0.0000  0.0000  0.5000 x3  6 Si 2.72
Pb  0.0000  0.0000  0.0000 x3  6 Si 2.98


Entry 11:
A plane-wave DFT calculation with PBE was carried out for a relaxed Si2HgPb crystal.

Values from the calculation:
crystal system	monoclinic
E_form (uncorrected)	0.215	eV per atom
distance to the lowest polymorph of the same formula	0	meV per atom

a b c (Å): 6.5737 3.7897 7.8508
angles (deg): 90.00 105.81 90.00
With the nearest neighbours (Å) after each atom.
Space group Cm (No. 8)
One atom of each set of equivalent atoms:
Si  0.0000  0.0000  0.0000 x2  3 Si 2.38
Si  0.2065  0.5000  0.1221 x2  3 Si 2.38
Hg  0.2392  0.0000  0.7326 x2  3 Si 2.95-3.00, 3 Pb 3.28-3.29
Pb  0.4684  0.0000  0.4092 x2  3 Si 3.07-3.09, 3 Hg 3.28-3.29


Entry 12:
A plane-wave DFT calculation with PBE was carried out for a relaxed Si2HgPb crystal.

Values from the calculation:
crystal system	tetragonal
E_form (uncorrected)	0.578	eV per atom
distance to the lowest polymorph of the same formula	363	meV per atom

a b c (Å): 6.1212 6.1212 12.1913
angles (deg): 90.00 90.00 90.00
With the nearest neighbours (Å) after each atom.
Space group I-42d (No. 122)
One atom of each set of equivalent atoms:
Si  0.2292  0.2500  0.1250 x8  2 Hg 2.58, 2 Pb 2.72
Hg  0.0000  0.0000  0.0000 x4  4 Si 2.58
Pb  0.0000  0.0000  0.5000 x4  4 Si 2.72


Entry 13:
A plane-wave DFT calculation with PBE was carried out for a relaxed Si2HgPb crystal.

Values from the calculation:
crystal system	tetragonal
E_form (uncorrected)	0.506	eV per atom
distance to the lowest polymorph of the same formula	291	meV per atom

a b c (Å): 3.7408 3.7408 6.5238
angles (deg): 90.00 90.00 90.00
With the nearest neighbours (Å) after each atom.
Space group P4/mmm (No. 123)
One atom of each set of equivalent atoms:
Si  0.0000  0.0000  0.1865 x2  1 Si 2.43
Hg  0.5000  0.5000  0.0000 x1  8 Si 2.91
Pb  0.5000  0.5000  0.5000 x1  2 Hg 3.26, 8 Si 3.34